# 1
# AlAgPb GGA-PBE optimized geometry
data_AlAgPb
_chemical_formula_sum 'Al4 Ag4 Pb4'
_symmetry_space_group_name_H-M 'P 1'
_symmetry_Int_Tables_number 1
_cell_length_a 5.6618
_cell_length_b 4.6888
_cell_length_c 10.4024
_cell_angle_alpha 90.00
_cell_angle_beta 90.00
_cell_angle_gamma 90.00
loop_
_symmetry_equiv_pos_as_xyz
'x,y,z'
loop_
_atom_site_label
_atom_site_fract_x
_atom_site_fract_y
_atom_site_fract_z
Al1 0.1526 0.2500 0.1810
Al2 0.3474 0.7500 0.6810
Al3 0.6526 0.2500 0.3190
Al4 0.8474 0.7500 0.8190
Ag1 0.1165 0.7500 0.0442
Ag2 0.3835 0.2500 0.5442
Ag3 0.6165 0.7500 0.4558
Ag4 0.8835 0.2500 0.9558
Pb1 0.1080 0.7500 0.3663
Pb2 0.3920 0.2500 0.8663
Pb3 0.6080 0.7500 0.1337
Pb4 0.8920 0.2500 0.6337
# VASP energy: -3.299 eV/atom
# DOS at the Fermi energy: 4.074 states/eV per cell

---

# 2
# MnCoSnRu GGA-PBE optimized geometry
data_MnCoSnRu
_chemical_formula_sum 'Mn4 Co4 Sn4 Ru4'
_symmetry_space_group_name_H-M 'P 1'
_symmetry_Int_Tables_number 1
_cell_length_a 6.1329
_cell_length_b 6.1329
_cell_length_c 6.1329
_cell_angle_alpha 90.00
_cell_angle_beta 90.00
_cell_angle_gamma 90.00
loop_
_symmetry_equiv_pos_as_xyz
'x,y,z'
loop_
_atom_site_label
_atom_site_fract_x
_atom_site_fract_y
_atom_site_fract_z
Mn1 0.0000 0.0000 0.0000
Mn2 0.0000 0.5000 0.5000
Mn3 0.5000 0.0000 0.5000
Mn4 0.5000 0.5000 0.0000
Co1 0.2500 0.2500 0.2500
Co2 0.2500 0.7500 0.7500
Co3 0.7500 0.2500 0.7500
Co4 0.7500 0.7500 0.2500
Sn1 0.0000 0.0000 0.5000
Sn2 0.0000 0.5000 0.0000
Sn3 0.5000 0.0000 0.0000
Sn4 0.5000 0.5000 0.5000
Ru1 0.2500 0.2500 0.7500
Ru2 0.2500 0.7500 0.2500
Ru3 0.7500 0.2500 0.2500
Ru4 0.7500 0.7500 0.7500
# VASP energy: -7.454 eV/atom
# DOS at the Fermi energy: 16.049 states/eV per cell

---

# 3
# CaSm5Ga6 GGA-PBE optimized geometry
data_CaSm5Ga6
_chemical_formula_sum 'Ca1 Sm5 Ga6'
_symmetry_space_group_name_H-M 'P 1'
_symmetry_Int_Tables_number 1
_cell_length_a 8.1625
_cell_length_b 8.1625
_cell_length_c 7.2976
_cell_angle_alpha 90.00
_cell_angle_beta 90.00
_cell_angle_gamma 143.17
loop_
_symmetry_equiv_pos_as_xyz
'x,y,z'
loop_
_atom_site_label
_atom_site_fract_x
_atom_site_fract_y
_atom_site_fract_z
Ca1 0.0000 0.0000 0.0000
Sm1 0.0000 0.0000 0.5000
Sm2 0.3326 0.6674 0.5000
Sm3 0.3369 0.6631 0.0000
Sm4 0.6631 0.3369 0.0000
Sm5 0.6674 0.3326 0.5000
Ga1 0.1666 0.8334 0.2476
Ga2 0.1666 0.8334 0.7524
Ga3 0.5000 0.5000 0.2522
Ga4 0.5000 0.5000 0.7478
Ga5 0.8334 0.1666 0.2476
Ga6 0.8334 0.1666 0.7524
# VASP energy: -4.195 eV/atom
# DOS at the Fermi energy: 5.346 states/eV per cell

---

# 4
# Na2ZnGaF8 GGA-PBE optimized geometry
data_Na2ZnGaF8
_chemical_formula_sum 'Na2 Zn1 Ga1 F8'
_symmetry_space_group_name_H-M 'P 1'
_symmetry_Int_Tables_number 1
_cell_length_a 5.0141
_cell_length_b 6.3494
_cell_length_c 5.0408
_cell_angle_alpha 90.00
_cell_angle_beta 92.86
_cell_angle_gamma 90.00
loop_
_symmetry_equiv_pos_as_xyz
'x,y,z'
loop_
_atom_site_label
_atom_site_fract_x
_atom_site_fract_y
_atom_site_fract_z
Na1 0.0000 0.2464 0.0000
Na2 0.0000 0.7536 0.0000
Zn1 0.5000 0.5000 0.5000
Ga1 0.5000 0.0000 0.5000
F1 0.2305 0.0000 0.2322
F2 0.2296 0.5000 0.2314
F3 0.3240 0.2370 0.6765
F4 0.3240 0.7630 0.6765
F5 0.6760 0.2370 0.3235
F6 0.6760 0.7630 0.3235
F7 0.7695 0.0000 0.7678
F8 0.7704 0.5000 0.7686
# VASP energy: -4.203 eV/atom
# DOS at the Fermi energy: 8.689 states/eV per cell
# ΔE_f (raw): -2.377 eV/atom

---

# 5
# CsSiN2 GGA-PBE optimized geometry
data_CsSiN2
_chemical_formula_sum 'Cs3 Si3 N6'
_symmetry_space_group_name_H-M 'P 1'
_symmetry_Int_Tables_number 1
_cell_length_a 4.6404
_cell_length_b 4.6404
_cell_length_c 20.3101
_cell_angle_alpha 90.00
_cell_angle_beta 90.00
_cell_angle_gamma 120.00
loop_
_symmetry_equiv_pos_as_xyz
'x,y,z'
loop_
_atom_site_label
_atom_site_fract_x
_atom_site_fract_y
_atom_site_fract_z
Cs1 0.0000 0.0000 0.0000
Cs2 0.3333 0.6667 0.6667
Cs3 0.6667 0.3333 0.3333
Si1 0.0000 0.0000 0.5000
Si2 0.3333 0.6667 0.1667
Si3 0.6667 0.3333 0.8333
N1 0.0000 0.0000 0.4198
N2 0.0000 0.0000 0.5802
N3 0.3333 0.6667 0.0865
N4 0.3333 0.6667 0.2468
N5 0.6667 0.3333 0.7532
N6 0.6667 0.3333 0.9135
# VASP energy: -5.122 eV/atom
# Energy above the most stable polymorph in this dataset: 1.063 eV/atom
# DOS at the Fermi energy: 21.755 states/eV per cell
# ΔE_f (raw): 0.610 eV/atom

---

# 6
# Si2PtRh GGA-PBE optimized geometry
data_Si2PtRh
_chemical_formula_sum 'Si8 Pt4 Rh4'
_symmetry_space_group_name_H-M 'P 1'
_symmetry_Int_Tables_number 1
_cell_length_a 5.3999
_cell_length_b 5.3999
_cell_length_c 10.6526
_cell_angle_alpha 90.00
_cell_angle_beta 90.00
_cell_angle_gamma 90.00
loop_
_symmetry_equiv_pos_as_xyz
'x,y,z'
loop_
_atom_site_label
_atom_site_fract_x
_atom_site_fract_y
_atom_site_fract_z
Si1 0.2432 0.2500 0.1250
Si2 0.2500 0.7432 0.3750
Si3 0.2500 0.7568 0.8750
Si4 0.2568 0.2500 0.6250
Si5 0.7432 0.7500 0.6250
Si6 0.7500 0.2432 0.8750
Si7 0.7500 0.2568 0.3750
Si8 0.7568 0.7500 0.1250
Pt1 0.0000 0.0000 0.5000
Pt2 0.0000 0.5000 0.7500
Pt3 0.5000 0.0000 0.2500
Pt4 0.5000 0.5000 0.0000
Rh1 0.0000 0.0000 0.0000
Rh2 0.0000 0.5000 0.2500
Rh3 0.5000 0.0000 0.7500
Rh4 0.5000 0.5000 0.5000
# VASP energy: -6.386 eV/atom
# Energy above the most stable polymorph in this dataset: 0.359 eV/atom
# DOS at the Fermi energy: 5.805 states/eV per cell
# ΔE_f (raw): -0.327 eV/atom